CeHPb after structural relaxation. Source: Alexandria via LeMat-Bulk, functional PBE.

Unit cell a=4.366 b=4.366 c=6.686 alpha=90.00 beta=90.00 gamma=90.00
Sites, in units of the cell vectors:
Ce1 0.250 0.250 0.126
Ce2 0.750 0.750 0.874
H1 0.250 0.750 0.000
H2 0.750 0.250 0.000
Pb1 0.250 0.250 0.619
Pb2 0.750 0.750 0.381

E above lowest polymorph (eV/atom): 0.0132
SG: P4/nmm
DOS(E_F) (states/eV/cell): 12.1
ρ (g/cm3): 9.1